1.
This record from the Alexandria database describes a geometry-optimized Ac2LaPm5Y structure. The functional is PBE-GGA.

Properties
- DFT formation energy: 0.078 eV/atom
- Energy: -4.74 eV per atom
- DOS(E_F): 61.44 states/eV/cell
- Magnetization: 0.000 μB/atom

```
data_Ac2LaPm5Y
_cell_length_a 5.955
_cell_length_b 17.950
_cell_length_c 12.412
_cell_angle_alpha 90.00
_cell_angle_beta 90.00
_cell_angle_gamma 90.00
_symmetry_space_group_name_H-M 'C m c 21'
_symmetry_Int_Tables_number 36
_symmetry_space_group_name_Hall 'C 2c -2'
loop_
_atom_site_label
_atom_site_fract_x
_atom_site_fract_y
_atom_site_fract_z
_atom_site_occupancy
Ac1 0.000 0.081 0.000 1
Ac2 0.000 0.111 0.666 1
La1 0.000 0.251 0.170 1
Pm1 0.000 0.085 0.333 1
Pm2 0.000 0.270 0.467 1
Pm3 0.000 0.272 0.868 1
Pm4 0.000 0.438 0.017 1
Pm5 0.000 0.441 0.309 1
Y1 0.000 0.392 0.670 1
```

2.
This record from the Alexandria database describes a geometry-optimized Li2AgH6 structure. The functional is PBE-GGA.

Properties
- Energy: -2.81 eV per atom
- DOS(E_F): 4.94 states/eV/cell
- Magnetization: 0.000 μB/atom

```
data_Li2AgH6
_cell_length_a 6.535
_cell_length_b 6.535
_cell_length_c 6.535
_cell_angle_alpha 90.00
_cell_angle_beta 90.00
_cell_angle_gamma 90.00
_symmetry_space_group_name_H-M 'F m -3 m'
_symmetry_Int_Tables_number 225
_symmetry_space_group_name_Hall '-F 4 2 3'
loop_
_atom_site_label
_atom_site_fract_x
_atom_site_fract_y
_atom_site_fract_z
_atom_site_occupancy
Li1 0.250 0.250 0.250 1
Ag1 0.000 0.000 0.000 1
H1 0.000 0.000 0.265 1
```

3.
This record from the Alexandria database describes a geometry-optimized InH3Pb structure. The functional is PBE-GGA.

Properties
- Energy: -2.78 eV per atom
- DOS(E_F): 2.17 states/eV/cell
- Relative energy among the computed polymorphs: 0.14 eV per formula unit
- Magnetization: 0.000 μB/atom

```
data_InH3Pb
_cell_length_a 4.139
_cell_length_b 4.139
_cell_length_c 4.139
_cell_angle_alpha 90.00
_cell_angle_beta 90.00
_cell_angle_gamma 90.00
_symmetry_space_group_name_H-M 'P m -3 m'
_symmetry_Int_Tables_number 221
_symmetry_space_group_name_Hall '-P 4 2 3'
loop_
_atom_site_label
_atom_site_fract_x
_atom_site_fract_y
_atom_site_fract_z
_atom_site_occupancy
In1 0.000 0.000 0.000 1
H1 0.000 0.000 0.500 1
Pb1 0.500 0.500 0.500 1
```

4.
This record from the Alexandria database describes a geometry-optimized LaNdCu4 structure. The functional is PBE-GGA.

Properties
- DFT formation energy: -0.070 eV/atom
- Energy: -4.42 eV per atom
- DOS(E_F): 21.86 states/eV/cell
- Relative energy among the computed polymorphs: 0.79 eV per formula unit
- Magnetization: 0.000 μB/atom

```
data_LaNdCu4
_cell_length_a 7.633
_cell_length_b 7.633
_cell_length_c 7.633
_cell_angle_alpha 90.00
_cell_angle_beta 90.00
_cell_angle_gamma 90.00
_symmetry_space_group_name_H-M 'F -4 3 m'
_symmetry_Int_Tables_number 216
_symmetry_space_group_name_Hall 'F -4 2 3'
loop_
_atom_site_label
_atom_site_fract_x
_atom_site_fract_y
_atom_site_fract_z
_atom_site_occupancy
La1 0.000 0.000 0.000 1
Nd1 0.250 0.250 0.250 1
Cu1 0.124 0.124 0.624 1
```

5.
This record from the Alexandria database describes a geometry-optimized La3Tb4Er8 structure. The functional is PBE-GGA.

Properties
- DFT formation energy: 0.386 eV/atom
- Energy: -4.27 eV per atom
- DOS(E_F): 61.98 states/eV/cell
- Magnetization: 0.000 μB/atom

```
data_La3Tb4Er8
_cell_length_a 13.392
_cell_length_b 12.865
_cell_length_c 6.744
_cell_angle_alpha 90.00
_cell_angle_beta 120.11
_cell_angle_gamma 90.00
_symmetry_space_group_name_H-M 'C 1 2/m 1'
_symmetry_Int_Tables_number 12
_symmetry_space_group_name_Hall '-C 2y'
loop_
_atom_site_label
_atom_site_fract_x
_atom_site_fract_y
_atom_site_fract_z
_atom_site_occupancy
La1 0.000 0.000 0.000 1
La2 0.250 0.250 0.000 1
Tb1 0.000 0.500 0.000 1
Tb2 0.000 0.500 0.500 1
Tb3 0.250 0.250 0.500 1
Er1 0.000 0.139 0.500 1
Er2 0.000 0.246 0.000 1
Er3 0.235 0.000 0.501 1
Er4 0.238 0.000 0.982 1
```

6.
This record from the Alexandria database describes a geometry-optimized ScPS2 structure. The functional is PBE-GGA.

Properties
- Formation energy from raw total energies: -9.76 kcal/mol of atoms
- Energy: -5.42 eV per atom
- DOS(E_F): 6.49 states/eV/cell
- Magnetization: 0.000 μB/atom

```
data_ScPS2
_cell_length_a 4.854
_cell_length_b 4.854
_cell_length_c 14.525
_cell_angle_alpha 90.00
_cell_angle_beta 90.00
_cell_angle_gamma 90.00
_symmetry_space_group_name_H-M 'I -4 2 d'
_symmetry_Int_Tables_number 122
_symmetry_space_group_name_Hall 'I -4 2bw'
loop_
_atom_site_label
_atom_site_fract_x
_atom_site_fract_y
_atom_site_fract_z
_atom_site_occupancy
Sc1 0.000 0.000 0.000 1
P1 0.000 0.000 0.500 1
S1 0.233 0.250 0.625 1
```

7.
This record from the Alexandria database describes a geometry-optimized Pm7Sm3Dy2 structure. The functional is PBE-GGA.

Properties
- DFT formation energy: 0.087 eV/atom
- Energy: -4.63 eV per atom
- DOS(E_F): 16.56 states/eV/cell
- Relative energy among the computed polymorphs: 0.16 eV per formula unit
- Magnetization: 0.000 μB/atom

```
data_Pm7Sm3Dy2
_cell_length_a 5.926
_cell_length_b 3.617
_cell_length_c 19.110
_cell_angle_alpha 90.00
_cell_angle_beta 93.22
_cell_angle_gamma 90.00
_symmetry_space_group_name_H-M 'P 1 2/m 1'
_symmetry_Int_Tables_number 10
_symmetry_space_group_name_Hall '-P 2y'
loop_
_atom_site_label
_atom_site_fract_x
_atom_site_fract_y
_atom_site_fract_z
_atom_site_occupancy
Pm1 0.000 0.000 0.000 1
Pm2 0.184 0.500 0.181 1
Pm3 0.257 0.500 0.536 1
Pm4 0.318 0.000 0.855 1
Sm1 0.216 0.000 0.367 1
Sm2 0.500 0.500 0.000 1
Dy1 0.294 0.500 0.704 1
```

8.
This record from the Alexandria database describes a geometry-optimized Nb14VMo structure. The functional is PBE-GGA.

Properties
- DFT formation energy: -0.021 eV/atom
- Energy: -10.08 eV per atom
- DOS(E_F): 24.00 states/eV/cell
- Magnetization: 0.000 μB/atom

```
data_Nb14VMo
_cell_length_a 6.578
_cell_length_b 6.578
_cell_length_c 6.587
_cell_angle_alpha 90.00
_cell_angle_beta 90.00
_cell_angle_gamma 90.00
_symmetry_space_group_name_H-M 'P 4/m m m'
_symmetry_Int_Tables_number 123
_symmetry_space_group_name_Hall '-P 4 2'
loop_
_atom_site_label
_atom_site_fract_x
_atom_site_fract_y
_atom_site_fract_z
_atom_site_occupancy
Nb1 0.000 0.000 0.000 1
Nb2 0.000 0.500 0.000 1
Nb3 0.000 0.500 0.500 1
Nb4 0.250 0.250 0.255 1
Nb5 0.500 0.500 0.000 1
V1 0.000 0.000 0.500 1
Mo1 0.500 0.500 0.500 1
```

9.
This record from the Alexandria database describes a geometry-optimized PuHg2Pd2 structure. The functional is PBE-GGA.

Properties
- DFT formation energy: -0.165 eV/atom
- Energy: -5.23 eV per atom
- DOS(E_F): 122.38 states/eV/cell
- Magnetization: 1.103 μB/atom

```
data_PuHg2Pd2
_cell_length_a 4.762
_cell_length_b 10.310
_cell_length_c 18.883
_cell_angle_alpha 90.00
_cell_angle_beta 90.00
_cell_angle_gamma 90.00
_symmetry_space_group_name_H-M 'F d d d'
_symmetry_Int_Tables_number 70
loop_
_symmetry_equiv_pos_as_xyz
'x,y,z'
'-x,-y,-z'
'-x+1/4,-y+1/4,z'
'x+1/4,y+1/4,-z'
'x,-y+1/4,-z+1/4'
'-x,y+1/4,z+1/4'
'-x+1/4,y,-z+1/4'
'x+1/4,-y,z+1/4'
'x,y+1/2,z+1/2'
'-x,-y+1/2,-z+1/2'
'-x+1/4,-y+3/4,z+1/2'
'x+1/4,y+3/4,-z+1/2'
'x,-y+3/4,-z+3/4'
'-x,y+3/4,z+3/4'
'-x+1/4,y+1/2,-z+3/4'
'x+1/4,-y+1/2,z+3/4'
'x+1/2,y,z+1/2'
'-x+1/2,-y,-z+1/2'
'-x+3/4,-y+1/4,z+1/2'
'x+3/4,y+1/4,-z+1/2'
'x+1/2,-y+1/4,-z+3/4'
'-x+1/2,y+1/4,z+3/4'
'-x+3/4,y,-z+3/4'
'x+3/4,-y,z+3/4'
'x+1/2,y+1/2,z'
'-x+1/2,-y+1/2,-z'
'-x+3/4,-y+3/4,z'
'x+3/4,y+3/4,-z'
'x+1/2,-y+3/4,-z+1/4'
'-x+1/2,y+3/4,z+1/4'
'-x+3/4,y+1/2,-z+1/4'
'x+3/4,-y+1/2,z+1/4'
loop_
_atom_site_label
_atom_site_fract_x
_atom_site_fract_y
_atom_site_fract_z
_atom_site_occupancy
Pu1 0.125 0.125 0.125 1
Hg1 0.125 0.125 0.502 1
Pd1 0.125 0.293 0.625 1
```

10.
This record from the Alexandria database describes a geometry-optimized Y4RhI5 structure. The functional is PBE-GGA.

Properties
- Formation energy from raw total energies: -26.36 kcal/mol of atoms
- Energy: -5.24 eV per atom
- DOS(E_F): 13.05 states/eV/cell
- Magnetization: 0.000 μB/atom

```
data_Y4RhI5
_cell_length_a 19.572
_cell_length_b 4.128
_cell_length_c 8.923
_cell_angle_alpha 90.00
_cell_angle_beta 102.56
_cell_angle_gamma 90.00
_symmetry_space_group_name_H-M 'C 1 2/m 1'
_symmetry_Int_Tables_number 12
_symmetry_space_group_name_Hall '-C 2y'
loop_
_atom_site_label
_atom_site_fract_x
_atom_site_fract_y
_atom_site_fract_z
_atom_site_occupancy
Y1 0.001 0.000 0.202 1
Y2 0.143 0.500 0.074 1
Rh1 0.000 0.500 0.000 1
I1 0.000 0.500 0.500 1
I2 0.168 0.000 0.344 1
I3 0.178 0.000 0.831 1
```

11.
This record from the Alexandria database describes a geometry-optimized Mg2Al3Pd2 structure. The functional is PBE-GGA.

Properties
- DFT formation energy: -0.593 eV/atom
- Energy: -4.14 eV per atom
- DOS(E_F): 4.02 states/eV/cell
- Magnetization: 0.000 μB/atom

```
data_Mg2Al3Pd2
_cell_length_a 9.456
_cell_length_b 4.103
_cell_length_c 6.757
_cell_angle_alpha 90.00
_cell_angle_beta 111.54
_cell_angle_gamma 90.00
_symmetry_space_group_name_H-M 'C 1 2/m 1'
_symmetry_Int_Tables_number 12
_symmetry_space_group_name_Hall '-C 2y'
loop_
_atom_site_label
_atom_site_fract_x
_atom_site_fract_y
_atom_site_fract_z
_atom_site_occupancy
Mg1 0.153 0.000 0.291 1
Al1 0.000 0.500 0.500 1
Al2 0.134 0.500 0.950 1
Pd1 0.133 0.000 0.704 1
```

12.
This record from the Alexandria database describes a geometry-optimized ErLuZnPt structure. The functional is PBE-GGA.

Properties
- DFT formation energy: -0.838 eV/atom
- Energy: -4.94 eV per atom
- DOS(E_F): 10.18 states/eV/cell
- Magnetization: 0.000 μB/atom

```
data_ErLuZnPt
_cell_length_a 6.945
_cell_length_b 6.945
_cell_length_c 6.945
_cell_angle_alpha 90.00
_cell_angle_beta 90.00
_cell_angle_gamma 90.00
_symmetry_space_group_name_H-M 'F -4 3 m'
_symmetry_Int_Tables_number 216
_symmetry_space_group_name_Hall 'F -4 2 3'
loop_
_atom_site_label
_atom_site_fract_x
_atom_site_fract_y
_atom_site_fract_z
_atom_site_occupancy
Er1 0.000 0.000 0.000 1
Lu1 0.000 0.000 0.500 1
Zn1 0.250 0.250 0.750 1
Pt1 0.250 0.250 0.250 1
```